(one)
Ba2TlZn | GGA-PBEsol | relaxed

a = 4.036 Å, b = 5.691 Å, c = 11.502 Å
α = 90.00°, β = 90.00°, γ = 90.00°
Space group Imm2 (No. 44)
Symmetry-distinct sites (fractional):
Ba (0.000, 0.000, 0.000) [2 per cell]
Ba (0.000, 0.500, 0.189) [2 per cell]
Tl (0.000, 0.000, 0.414) [2 per cell]
Zn (0.000, 0.500, 0.745) [2 per cell]

---

(two)
Ba2TlZn | GGA-PBEsol | relaxed

a = 4.068 Å, b = 4.068 Å, c = 8.297 Å
α = 90.00°, β = 90.00°, γ = 90.00°
Space group P4/mmm (No. 123)
Symmetry-distinct sites (fractional):
Ba (0.000, 0.000, 0.237) [2 per cell]
Tl (0.500, 0.500, 0.500) [1 per cell]
Zn (0.500, 0.500, 0.000) [1 per cell]

---

What should be chosen as the least stable of them? Choose (one).

---

(one)
BaZn2W | GGA-PBEsol | relaxed

a = 6.946 Å, b = 6.946 Å, c = 6.946 Å
α = 90.00°, β = 90.00°, γ = 90.00°
Space group F-43m (No. 216)
Symmetry-distinct sites (fractional):
Ba (0.000, 0.000, 0.000) [4 per cell]
Zn (0.000, 0.000, 0.500) [4 per cell]
Zn (0.250, 0.250, 0.750) [4 per cell]
W (0.250, 0.250, 0.250) [4 per cell]

---

(two)
BaZn2W | GGA-PBEsol | relaxed

a = 2.990 Å, b = 2.990 Å, c = 8.699 Å
α = 90.00°, β = 90.00°, γ = 90.00°
Space group P4mm (No. 99)
Symmetry-distinct sites (fractional):
Ba (0.000, 0.000, 0.000) [1 per cell]
Zn (0.000, 0.000, 0.518) [1 per cell]
Zn (0.500, 0.500, 0.693) [1 per cell]
W (0.500, 0.500, 0.323) [1 per cell]

---

(three)
BaZn2W | GGA-PBEsol | relaxed

a = 4.183 Å, b = 4.183 Å, c = 9.432 Å
α = 90.00°, β = 90.00°, γ = 90.00°
Space group I-4m2 (No. 119)
Symmetry-distinct sites (fractional):
Ba (0.000, 0.000, 0.000) [2 per cell]
Zn (0.000, 0.000, 0.500) [2 per cell]
Zn (0.000, 0.500, 0.750) [2 per cell]
W (0.000, 0.500, 0.250) [2 per cell]

---

What should be chosen as the least stable of them? Choose (one).

---

(one)
BaZrW2 | GGA-PBEsol | relaxed

a = 3.352 Å, b = 4.785 Å, c = 10.409 Å
α = 90.00°, β = 90.00°, γ = 90.00°
Space group Cmmm (No. 65)
Symmetry-distinct sites (fractional):
Ba (0.000, 0.000, 0.000) [2 per cell]
Zr (0.000, 0.000, 0.500) [2 per cell]
W (0.000, 0.500, 0.282) [4 per cell]

---

(two)
BaZrW2 | GGA-PBEsol | relaxed

a = 8.190 Å, b = 3.145 Å, c = 7.700 Å
α = 90.00°, β = 93.42°, γ = 90.00°
Space group Cm (No. 8)
Symmetry-distinct sites (fractional):
Ba (0.000, 0.000, 0.000) [2 per cell]
Zr (0.280, 0.500, 0.367) [2 per cell]
W (0.013, 0.500, 0.556) [2 per cell]
W (0.237, 0.000, 0.693) [2 per cell]

---

(three)
BaZrW2 | GGA-PBEsol | relaxed

a = 5.839 Å, b = 10.145 Å, c = 2.906 Å
α = 90.00°, β = 110.84°, γ = 90.00°
Space group C2/m (No. 12)
Symmetry-distinct sites (fractional):
Ba (0.000, 0.000, 0.000) [2 per cell]
Zr (0.000, 0.500, 0.000) [2 per cell]
W (0.250, 0.250, 0.500) [4 per cell]

---

What should be chosen as the least stable of them? Choose (three).